Record 1
LiPdN | PBE | optimized geometry

```
LiPdN
1.0
7.416 -1.433 0.000
7.416 1.433 0.000
-0.501 0.000 3.712
Li Pd N
2 2 2
Cartesian
0.000 0.000 0.000
2.831 0.000 1.298
5.705 0.000 1.646
11.478 0.000 3.336
7.660 0.000 2.175
8.613 0.000 1.449
```

Summary:
Formation energy without anion corrections: -15.5 kJ per mole of atoms
DOS at the Fermi energy: 0.472 states/eV per atom
ΔE to the lowest computed polymorph: 0.069 eV/atom

***

Record 2
NiAgHg | PBE | optimized geometry

```
NiAgHg
1.0
-1.510 1.510 5.527
1.510 -1.510 5.527
1.510 1.510 -5.527
Ni Ag Hg
1 1 1
Cartesian
0.000 0.000 0.000
0.000 0.000 3.859
0.000 0.000 7.212
```

Summary:
DOS at the Fermi energy: 0.466 states/eV per atom
Energy of formation: 0.205 eV/atom
ΔE to the lowest computed polymorph: 0.029 eV/atom

***

Record 3
Ho2AlNi7 | PBE | optimized geometry

```
Ho2AlNi7
1.0
0.000 4.344 4.344
4.344 0.000 4.344
4.344 4.344 0.000
Ho Al Ni
2 1 7
Cartesian
2.172 2.172 2.172
6.516 6.516 6.516
0.000 0.000 0.000
4.344 4.344 2.161
4.344 2.161 4.344
6.526 4.344 4.344
4.344 4.344 4.344
2.161 4.344 4.344
4.344 6.526 4.344
4.344 4.344 6.526
```

Summary:
DOS at the Fermi energy: 1.203 states/eV per atom
Energy of formation: 0.140 eV/atom

***

Record 4
Th2GaSi | PBE | optimized geometry

```
Th2GaSi
1.0
5.993 0.000 0.000
0.000 4.078 0.000
-2.718 0.000 8.211
Th Ga Si
4 2 2
Cartesian
0.074 1.019 3.494
1.504 3.058 0.553
1.771 1.019 7.658
3.202 3.058 4.717
0.247 3.058 5.855
3.029 1.019 2.356
-1.303 1.019 6.468
4.578 3.058 1.743
```

Summary:
Formation energy without anion corrections: -59.4 kJ per mole of atoms
DOS at the Fermi energy: 0.830 states/eV per atom
ΔE to the lowest computed polymorph: 0.000 eV/atom

***

Record 5
Pr8CuOs3Br4 | PBE | optimized geometry

```
Pr8CuOs3Br4
1.0
4.166 2.406 7.911
-4.166 2.406 7.911
0.000 -4.811 7.911
Pr Cu Os Br
8 1 3 4
Cartesian
-2.163 -1.249 13.424
0.000 0.000 5.544
0.000 -2.498 10.308
-2.163 1.249 10.308
2.163 -1.249 13.424
0.000 2.498 13.424
0.000 0.000 18.188
2.163 1.249 10.308
0.000 0.000 11.866
-4.166 0.000 11.866
-2.083 1.203 3.955
2.083 1.203 3.955
0.000 0.000 0.000
-2.083 -1.203 7.911
-2.083 1.203 15.821
0.000 2.406 7.911
```

Summary:
Formation energy without anion corrections: -66.5 kJ per mole of atoms
DOS at the Fermi energy: 0.386 states/eV per atom

***

Record 6
PrAl22O34 | PBE | optimized geometry

```
PrAl22O34
1.0
5.650 0.000 0.000
-0.008 9.782 0.000
-0.042 -3.190 11.362
Pr Al O
1 22 34
Cartesian
0.000 0.000 0.000
1.039 4.298 3.432
1.058 5.922 8.237
1.088 -0.597 3.544
1.076 1.050 8.400
2.455 1.823 1.894
2.470 6.754 3.465
2.471 -1.390 6.485
2.460 -1.419 9.961
2.473 1.857 5.350
2.474 5.096 5.880
2.475 3.470 8.396
3.875 -0.597 3.498
3.887 4.293 3.415
3.872 5.936 8.288
3.882 1.057 8.400
5.288 1.882 3.458
5.298 6.775 1.920
5.287 6.752 5.301
5.287 3.483 6.453
5.290 -1.397 8.299
5.297 0.247 5.930
5.301 3.519 9.942
0.973 0.986 4.793
0.974 -0.549 7.060
1.018 -2.267 9.211
1.054 2.665 2.630
1.062 7.587 2.652
1.059 2.678 9.250
1.123 4.361 7.034
1.135 5.883 4.780
1.935 1.532 0.237
2.462 5.121 2.679
2.472 0.203 2.651
2.473 3.571 4.784
2.472 8.382 4.680
2.474 1.855 7.206
2.461 5.135 9.112
2.470 6.663 7.048
2.484 0.208 9.242
3.794 5.884 4.775
3.807 4.360 7.048
3.883 2.664 2.564
3.878 7.575 2.647
3.889 2.681 9.256
3.945 -2.260 9.313
3.971 -0.555 7.064
3.979 0.994 4.773
5.279 3.491 4.622
5.291 5.116 2.561
5.276 6.761 7.149
5.300 -1.282 4.786
5.291 1.770 7.054
5.322 0.213 2.633
5.303 0.212 9.146
5.301 5.197 9.221
5.338 7.240 0.239
```

Summary:
Formation energy without anion corrections: -287.1 kJ per mole of atoms
DOS at the Fermi energy: 0.038 states/eV per atom